(1)
# CaCeCd2 | Alexandria | PBE | relaxed
# Space-group type: No. 166
# Spin magnetization: 0.3338 μB/atom
# Energy relative to the elements: -0.0631 eV/atom
# E: -10.0 eV per formula unit
data_CaCeCd2
_cell_length_a 3.560
_cell_length_b 3.560
_cell_length_c 10.718
_cell_angle_alpha 80.44
_cell_angle_beta 80.44
_cell_angle_gamma 60.00
_symmetry_space_group_name_H-M 'P 1'
_symmetry_Int_Tables_number 1
loop_
_symmetry_equiv_pos_as_xyz
'x,y,z'
loop_
_atom_site_label
_atom_site_type_symbol
_atom_site_fract_x
_atom_site_fract_y
_atom_site_fract_z
Ca1 Ca 0.500 0.500 0.500
Ce1 Ce 0.000 0.000 0.000
Cd1 Cd 0.751 0.751 0.746
Cd2 Cd 0.249 0.249 0.254



(2)
# Ca2CeCd3 | Alexandria | PBE | relaxed
# Space-group type: No. 123
# Spin magnetization: 0.1965 μB/atom
# Energy relative to the elements: -0.2816 eV/atom
# E: -14.4 eV per formula unit
data_Ca2CeCd3
_cell_length_a 3.741
_cell_length_b 3.741
_cell_length_c 12.030
_cell_angle_alpha 90.00
_cell_angle_beta 90.00
_cell_angle_gamma 90.00
_symmetry_space_group_name_H-M 'P 1'
_symmetry_Int_Tables_number 1
loop_
_symmetry_equiv_pos_as_xyz
'x,y,z'
loop_
_atom_site_label
_atom_site_type_symbol
_atom_site_fract_x
_atom_site_fract_y
_atom_site_fract_z
Ca1 Ca 0.500 0.500 0.837
Ca2 Ca 0.500 0.500 0.163
Ce1 Ce 0.500 0.500 0.500
Cd1 Cd 0.000 0.000 0.000
Cd2 Cd 0.000 0.000 0.670
Cd3 Cd 0.000 0.000 0.330



(3)
# CaCe2Cd4 | Alexandria | PBE | relaxed
# Space-group type: No. 166
# Spin magnetization: 0.3078 μB/atom
# Energy relative to the elements: -0.0220 eV/atom
# E: -17.7 eV per formula unit
data_CaCe2Cd4
_cell_length_a 5.334
_cell_length_b 5.334
_cell_length_c 9.124
_cell_angle_alpha 73.00
_cell_angle_beta 73.00
_cell_angle_gamma 60.00
_symmetry_space_group_name_H-M 'P 1'
_symmetry_Int_Tables_number 1
loop_
_symmetry_equiv_pos_as_xyz
'x,y,z'
loop_
_atom_site_label
_atom_site_type_symbol
_atom_site_fract_x
_atom_site_fract_y
_atom_site_fract_z
Ca1 Ca 0.000 0.000 0.000
Ce1 Ce 0.749 0.749 0.753
Ce2 Ce 0.251 0.251 0.247
Cd1 Cd 0.873 0.873 0.380
Cd2 Cd 0.127 0.127 0.620
Cd3 Cd 0.619 0.619 0.143
Cd4 Cd 0.381 0.381 0.857



(4)
# Ca3CeCd4 | Alexandria | PBE | relaxed
# Space-group type: No. 166
# Spin magnetization: 0.1266 μB/atom
# Energy relative to the elements: -0.3020 eV/atom
# E: -18.0 eV per formula unit
data_Ca3CeCd4
_cell_length_a 5.419
_cell_length_b 5.419
_cell_length_c 9.415
_cell_angle_alpha 73.27
_cell_angle_beta 73.27
_cell_angle_gamma 60.00
_symmetry_space_group_name_H-M 'P 1'
_symmetry_Int_Tables_number 1
loop_
_symmetry_equiv_pos_as_xyz
'x,y,z'
loop_
_atom_site_label
_atom_site_type_symbol
_atom_site_fract_x
_atom_site_fract_y
_atom_site_fract_z
Ca1 Ca 0.249 0.249 0.252
Ca2 Ca 0.751 0.751 0.748
Ca3 Ca 0.500 0.500 0.500
Ce1 Ce 0.000 0.000 0.000
Cd1 Cd 0.876 0.876 0.373
Cd2 Cd 0.375 0.375 0.874
Cd3 Cd 0.124 0.124 0.627
Cd4 Cd 0.625 0.625 0.126



(5)
# CaCeCdGe | Alexandria | PBE | relaxed
# Space-group type: No. 216
# Spin magnetization: 0.2732 μB/atom
# Energy relative to the elements: -0.4109 eV/atom
# E: -15.1 eV per formula unit
data_CaCeCdGe
_cell_length_a 5.268
_cell_length_b 5.268
_cell_length_c 5.268
_cell_angle_alpha 60.00
_cell_angle_beta 60.00
_cell_angle_gamma 60.00
_symmetry_space_group_name_H-M 'P 1'
_symmetry_Int_Tables_number 1
loop_
_symmetry_equiv_pos_as_xyz
'x,y,z'
loop_
_atom_site_label
_atom_site_type_symbol
_atom_site_fract_x
_atom_site_fract_y
_atom_site_fract_z
Ge1 Ge 0.750 0.750 0.750
Ca1 Ca 0.500 0.500 0.500
Ce1 Ce 0.000 0.000 0.000
Cd1 Cd 0.250 0.250 0.250



(6)
# Ca2CeCd2In2 | Alexandria | PBE | relaxed
# Space-group type: No. 166
# Spin magnetization: 0.1562 μB/atom
# Energy relative to the elements: -0.2910 eV/atom
# E: -19.3 eV per formula unit
data_Ca2CeCd2In2
_cell_length_a 4.999
_cell_length_b 4.999
_cell_length_c 9.907
_cell_angle_alpha 75.39
_cell_angle_beta 75.39
_cell_angle_gamma 60.00
_symmetry_space_group_name_H-M 'P 1'
_symmetry_Int_Tables_number 1
loop_
_symmetry_equiv_pos_as_xyz
'x,y,z'
loop_
_atom_site_label
_atom_site_type_symbol
_atom_site_fract_x
_atom_site_fract_y
_atom_site_fract_z
Ca1 Ca 0.128 0.128 0.617
Ca2 Ca 0.872 0.872 0.383
Ce1 Ce 0.000 0.000 0.000
Cd1 Cd 0.607 0.607 0.179
Cd2 Cd 0.393 0.393 0.821
In1 In 0.741 0.741 0.778
In2 In 0.259 0.259 0.222